No. 1
# PBE CeTcP2Rh, relaxed
# * formation enthalpy at 0 K: -1.018 eV per atom
# * crystal system: tetragonal
# * magnetic moment: 0.090 μB/atom
data_CeTcP2Rh
_space_group_name_H-M_alt 'I -4 m 2'
_space_group_IT_number 119
_space_group_name_Hall 'I -4 -2'
_cell_length_a 4.083
_cell_length_b 4.083
_cell_length_c 9.872
_cell_angle_alpha 90.00
_cell_angle_beta 90.00
_cell_angle_gamma 90.00
loop_
_atom_site_label
_atom_site_type_symbol
_atom_site_fract_x
_atom_site_fract_y
_atom_site_fract_z
Ce1 Ce 0.000 0.000 0.000
Tc1 Tc 0.000 0.500 0.250
P1 P 0.000 0.000 0.375
Rh1 Rh 0.000 0.500 0.750

***

No. 2
# PBE CsInH4, relaxed
# * crystal system: monoclinic
# * magnetic moment: 0.000 μB/atom
# * final energy: -2.794 eV/atom
data_CsInH4
_space_group_name_H-M_alt 'C 1 2/m 1'
_space_group_IT_number 12
_space_group_name_Hall '-C 2y'
_cell_length_a 14.141
_cell_length_b 6.542
_cell_length_c 5.174
_cell_angle_alpha 90.00
_cell_angle_beta 103.84
_cell_angle_gamma 90.00
loop_
_atom_site_label
_atom_site_type_symbol
_atom_site_fract_x
_atom_site_fract_y
_atom_site_fract_z
Cs1 Cs 0.154 0.000 0.278
In1 In 0.100 0.500 0.900
H1 H 0.000 0.307 0.000
H2 H 0.128 0.284 0.707
H3 H 0.185 0.500 0.216

***

No. 3
# PBE MgAl2Si, relaxed
# * crystal system: orthorhombic
# * magnetic moment: 0.000 μB/atom
# * final energy: -3.526 eV/atom
data_MgAl2Si
_space_group_name_H-M_alt 'C m m m'
_space_group_IT_number 65
_space_group_name_Hall '-C 2 2'
_cell_length_a 4.064
_cell_length_b 4.187
_cell_length_c 8.121
_cell_angle_alpha 90.00
_cell_angle_beta 90.00
_cell_angle_gamma 90.00
loop_
_atom_site_label
_atom_site_type_symbol
_atom_site_fract_x
_atom_site_fract_y
_atom_site_fract_z
Mg1 Mg 0.000 0.000 0.000
Al1 Al 0.000 0.500 0.272
Si1 Si 0.000 0.000 0.500

***

No. 4
# PBE ZrAs3Ir, relaxed
# * formation enthalpy at 0 K: 1.101 eV per atom
# * crystal system: cubic
# * magnetic moment: 0.000 μB/atom
data_ZrAs3Ir
_space_group_name_H-M_alt 'P m -3 m'
_space_group_IT_number 221
_space_group_name_Hall '-P 4 2 3'
_cell_length_a 5.072
_cell_length_b 5.072
_cell_length_c 5.072
_cell_angle_alpha 90.00
_cell_angle_beta 90.00
_cell_angle_gamma 90.00
loop_
_atom_site_label
_atom_site_type_symbol
_atom_site_fract_x
_atom_site_fract_y
_atom_site_fract_z
Zr1 Zr 0.000 0.000 0.000
As1 As 0.000 0.000 0.500
Ir1 Ir 0.500 0.500 0.500

***

Number 4 is which compound? ZrAs3Ir

***

Repeat the fourth record exactly.
# PBE ZrAs3Ir, relaxed
# * formation enthalpy at 0 K: 1.101 eV per atom
# * crystal system: cubic
# * magnetic moment: 0.000 μB/atom
data_ZrAs3Ir
_space_group_name_H-M_alt 'P m -3 m'
_space_group_IT_number 221
_space_group_name_Hall '-P 4 2 3'
_cell_length_a 5.072
_cell_length_b 5.072
_cell_length_c 5.072
_cell_angle_alpha 90.00
_cell_angle_beta 90.00
_cell_angle_gamma 90.00
loop_
_atom_site_label
_atom_site_type_symbol
_atom_site_fract_x
_atom_site_fract_y
_atom_site_fract_z
Zr1 Zr 0.000 0.000 0.000
As1 As 0.000 0.000 0.500
Ir1 Ir 0.500 0.500 0.500

***

Repeat the first record exactly.
# PBE CeTcP2Rh, relaxed
# * formation enthalpy at 0 K: -1.018 eV per atom
# * crystal system: tetragonal
# * magnetic moment: 0.090 μB/atom
data_CeTcP2Rh
_space_group_name_H-M_alt 'I -4 m 2'
_space_group_IT_number 119
_space_group_name_Hall 'I -4 -2'
_cell_length_a 4.083
_cell_length_b 4.083
_cell_length_c 9.872
_cell_angle_alpha 90.00
_cell_angle_beta 90.00
_cell_angle_gamma 90.00
loop_
_atom_site_label
_atom_site_type_symbol
_atom_site_fract_x
_atom_site_fract_y
_atom_site_fract_z
Ce1 Ce 0.000 0.000 0.000
Tc1 Tc 0.000 0.500 0.250
P1 P 0.000 0.000 0.375
Rh1 Rh 0.000 0.500 0.750

***

magnetic moment of number 3 (MgAl2Si)? 0.000 μB/atom